Entry 1:
DFT (GGA-PBE) results for a relaxed Ho3Ga3Ru2 crystal.

Geometry as POSCAR:
```
Ho3Ga3Ru2
1.0
2.205 -5.078 0.000
2.205 5.078 0.000
0.000 0.000 14.476
Ho Ga Ru
6 6 4
Cartesian
2.205 4.172 8.799
2.205 4.172 12.914
2.205 1.221 10.857
2.205 -1.221 3.619
2.205 -4.172 1.562
2.205 -4.172 5.676
2.205 1.860 3.619
2.205 1.155 7.886
2.205 1.155 13.827
2.205 -1.155 0.648
2.205 -1.155 6.589
2.205 -1.860 10.857
2.205 2.883 1.236
2.205 2.883 6.001
2.205 -2.883 8.474
2.205 -2.883 13.239
```

Symmetry: Cmcm (63)
Energy relative to the elements: -57.0 kJ/mol of atoms

---

Entry 2:
DFT (GGA-PBE) results for a relaxed Ho2Ga2Ru crystal.

Geometry as POSCAR:
```
Ho2Ga2Ru
1.0
2.218 -6.858 0.000
2.218 6.858 0.000
0.000 0.000 7.418
Ho Ga Ru
4 4 2
Cartesian
2.218 6.517 3.709
2.218 3.574 6.344
2.218 -3.574 2.636
2.218 -6.517 0.000
2.218 4.659 1.516
2.218 1.158 2.119
2.218 -1.158 5.828
2.218 -4.659 5.225
2.218 1.207 4.735
2.218 -1.207 1.026
```

Symmetry: Cmc2_1 (36)
ΔE to the lowest computed polymorph: 176 meV per atom
Energy relative to the elements: -40.2 kJ/mol of atoms

---

| no. | size of the total moment (μB per atom) |
| --- | --- |
| 1 | 0.00 |
| 2 | 0.00 |